# 1
This record from Alexandria describes a relaxed MgH2Ir3 crystal. The functional is PBE.

Structure (CIF):
```
data_MgH2Ir3
_chemical_formula_sum 'Mg1 H2 Ir3'
_cell_length_a 4.826
_cell_length_b 5.294
_cell_length_c 2.884
_cell_angle_alpha 74.30
_cell_angle_beta 107.46
_cell_angle_gamma 89.18
_symmetry_space_group_name_H-M 'P 1'
_symmetry_Int_Tables_number 1
_symmetry_space_group_name_Hall 'P 1'
loop_
_atom_site_label
_atom_site_type_symbol
_atom_site_fract_x
_atom_site_fract_y
_atom_site_fract_z
_atom_site_occupancy
Mg1 Mg 0.103 0.889 0.408 1
H1 H 0.088 0.540 0.075 1
H2 H 0.505 0.751 0.178 1
Ir1 Ir 0.669 0.602 0.834 1
Ir2 Ir 0.176 0.335 0.721 1
Ir3 Ir 0.646 0.154 0.546 1
```

---

# 2
This record from Alexandria describes a relaxed MgH2Ir3 crystal. The functional is PBE.

Structure (CIF):
```
data_MgH2Ir3
_chemical_formula_sum 'Mg1 H2 Ir3'
_cell_length_a 5.250
_cell_length_b 2.845
_cell_length_c 5.269
_cell_angle_alpha 74.28
_cell_angle_beta 107.12
_cell_angle_gamma 74.33
_symmetry_space_group_name_H-M 'P 1'
_symmetry_Int_Tables_number 1
_symmetry_space_group_name_Hall 'P 1'
loop_
_atom_site_label
_atom_site_type_symbol
_atom_site_fract_x
_atom_site_fract_y
_atom_site_fract_z
_atom_site_occupancy
Mg1 Mg 0.559 0.350 0.909 1
H1 H 0.846 0.975 0.372 1
H2 H 0.900 0.742 0.784 1
Ir1 Ir 0.165 0.296 0.408 1
Ir2 Ir 0.620 0.571 0.403 1
Ir3 Ir 0.113 0.060 0.933 1
```

---

# 3
This record from Alexandria describes a relaxed Mg2H5Ir crystal. The functional is PBE.

Structure (CIF):
```
data_Mg2H5Ir
_chemical_formula_sum 'Mg2 H5 Ir1'
_cell_length_a 3.178
_cell_length_b 4.640
_cell_length_c 4.638
_cell_angle_alpha 90.14
_cell_angle_beta 89.98
_cell_angle_gamma 90.00
_symmetry_space_group_name_H-M 'P 1'
_symmetry_Int_Tables_number 1
_symmetry_space_group_name_Hall 'P 1'
loop_
_atom_site_label
_atom_site_type_symbol
_atom_site_fract_x
_atom_site_fract_y
_atom_site_fract_z
_atom_site_occupancy
Mg1 Mg 0.893 0.483 0.566 1
Mg2 Mg 0.893 0.962 0.046 1
H1 H 0.394 0.713 0.817 1
H2 H 0.394 0.716 0.321 1
H3 H 0.394 0.208 0.809 1
H4 H 0.895 0.944 0.583 1
H5 H 0.394 0.202 0.324 1
Ir1 Ir 0.394 0.458 0.070 1
```

---

# 4
This record from Alexandria describes a relaxed Mg2H5Ir crystal. The functional is PBE.

Structure (CIF):
```
data_Mg2H5Ir
_chemical_formula_sum 'Mg2 H5 Ir1'
_cell_length_a 3.104
_cell_length_b 5.154
_cell_length_c 5.154
_cell_angle_alpha 79.81
_cell_angle_beta 72.54
_cell_angle_gamma 72.52
_symmetry_space_group_name_H-M 'P 1'
_symmetry_Int_Tables_number 1
_symmetry_space_group_name_Hall 'P 1'
loop_
_atom_site_label
_atom_site_type_symbol
_atom_site_fract_x
_atom_site_fract_y
_atom_site_fract_z
_atom_site_occupancy
Mg1 Mg 0.871 0.834 0.114 1
Mg2 Mg 0.282 0.425 0.706 1
H1 H 0.237 0.788 0.429 1
H2 H 0.577 0.630 0.910 1
H3 H 0.916 0.471 0.390 1
H4 H 0.917 0.109 0.751 1
H5 H 0.237 0.150 0.068 1
Ir1 Ir 0.077 0.130 0.410 1
```

---

# 5
This record from Alexandria describes a relaxed Mg5H2Ir3 crystal. The functional is PBE.

Structure (CIF):
```
data_Mg5H2Ir3
_chemical_formula_sum 'Mg5 H2 Ir3'
_cell_length_a 6.087
_cell_length_b 4.830
_cell_length_c 4.828
_cell_angle_alpha 99.66
_cell_angle_beta 90.97
_cell_angle_gamma 90.97
_symmetry_space_group_name_H-M 'P 1'
_symmetry_Int_Tables_number 1
_symmetry_space_group_name_Hall 'P 1'
loop_
_atom_site_label
_atom_site_type_symbol
_atom_site_fract_x
_atom_site_fract_y
_atom_site_fract_z
_atom_site_occupancy
Mg1 Mg 0.772 0.377 0.094 1
Mg2 Mg 0.297 0.834 0.616 1
Mg3 Mg 0.297 0.378 0.072 1
Mg4 Mg 0.038 0.891 0.128 1
Mg5 Mg 0.772 0.856 0.614 1
H1 H 0.535 0.611 0.849 1
H2 H 0.789 0.423 0.661 1
Ir1 Ir 0.515 0.320 0.558 1
Ir2 Ir 0.540 0.889 0.127 1
Ir3 Ir 0.051 0.333 0.571 1
```

---

# 6
This record from Alexandria describes a relaxed MgH3Ir crystal. The functional is PBE.

Structure (CIF):
```
data_MgH3Ir
_chemical_formula_sum 'Mg1 H3 Ir1'
_cell_length_a 5.048
_cell_length_b 3.070
_cell_length_c 3.070
_cell_angle_alpha 90.01
_cell_angle_beta 107.71
_cell_angle_gamma 72.34
_symmetry_space_group_name_H-M 'P 1'
_symmetry_Int_Tables_number 1
_symmetry_space_group_name_Hall 'P 1'
loop_
_atom_site_label
_atom_site_type_symbol
_atom_site_fract_x
_atom_site_fract_y
_atom_site_fract_z
_atom_site_occupancy
Mg1 Mg 0.686 0.599 0.607 1
H1 H 0.276 0.306 0.402 1
H2 H 0.276 0.806 0.902 1
H3 H 0.692 0.097 0.110 1
Ir1 Ir 0.076 0.905 0.302 1
```

---

# 7
This record from Alexandria describes a relaxed MgH3Ir crystal. The functional is PBE.

Structure (CIF):
```
data_MgH3Ir
_chemical_formula_sum 'Mg2 H6 Ir2'
_cell_length_a 7.306
_cell_length_b 7.306
_cell_length_c 4.588
_cell_angle_alpha 90.00
_cell_angle_beta 90.00
_cell_angle_gamma 156.11
_symmetry_space_group_name_H-M 'P 1'
_symmetry_Int_Tables_number 1
_symmetry_space_group_name_Hall 'P 1'
loop_
_atom_site_label
_atom_site_type_symbol
_atom_site_fract_x
_atom_site_fract_y
_atom_site_fract_z
_atom_site_occupancy
H1 H 0.967 0.569 0.250 1
H2 H 0.431 0.033 0.250 1
H3 H 0.569 0.967 0.750 1
H4 H 0.033 0.431 0.750 1
H5 H 0.000 0.000 0.000 1
H6 H 0.000 0.000 0.500 1
Mg1 Mg 0.398 0.602 0.250 1
Mg2 Mg 0.602 0.398 0.750 1
Ir1 Ir 0.098 0.902 0.250 1
Ir2 Ir 0.902 0.098 0.750 1
```

---

# 8
This record from Alexandria describes a relaxed Mg5HIr2 crystal. The functional is PBE.

Structure (CIF):
```
data_Mg5HIr2
_chemical_formula_sum 'Mg5 H1 Ir2'
_cell_length_a 4.038
_cell_length_b 5.115
_cell_length_c 8.032
_cell_angle_alpha 113.14
_cell_angle_beta 75.44
_cell_angle_gamma 66.75
_symmetry_space_group_name_H-M 'P 1'
_symmetry_Int_Tables_number 1
_symmetry_space_group_name_Hall 'P 1'
loop_
_atom_site_label
_atom_site_type_symbol
_atom_site_fract_x
_atom_site_fract_y
_atom_site_fract_z
_atom_site_occupancy
Mg1 Mg 0.135 0.828 0.067 1
Mg2 Mg 0.009 0.374 0.771 1
Mg3 Mg 0.271 0.267 0.354 1
Mg4 Mg 0.699 0.551 0.214 1
Mg5 Mg 0.400 0.707 0.656 1
H1 H 0.800 0.894 0.669 1
Ir1 Ir 0.845 0.997 0.478 1
Ir2 Ir 0.552 0.113 0.946 1
```

---

# 9
This record from Alexandria describes a relaxed Mg2HIr2 crystal. The functional is PBE.

Structure (CIF):
```
data_Mg2HIr2
_chemical_formula_sum 'Mg2 H1 Ir2'
_cell_length_a 4.498
_cell_length_b 4.498
_cell_length_c 4.503
_cell_angle_alpha 59.74
_cell_angle_beta 120.26
_cell_angle_gamma 90.50
_symmetry_space_group_name_H-M 'P 1'
_symmetry_Int_Tables_number 1
_symmetry_space_group_name_Hall 'P 1'
loop_
_atom_site_label
_atom_site_type_symbol
_atom_site_fract_x
_atom_site_fract_y
_atom_site_fract_z
_atom_site_occupancy
Mg1 Mg 0.409 0.376 0.414 1
Mg2 Mg 0.909 0.876 0.414 1
H1 H 0.908 0.376 0.912 1
Ir1 Ir 0.639 0.645 0.914 1
Ir2 Ir 0.178 0.106 0.914 1
```

---

# 10
This record from Alexandria describes a relaxed MgH4Ir2 crystal. The functional is PBE.

Structure (CIF):
```
data_MgH4Ir2
_chemical_formula_sum 'Mg1 H4 Ir2'
_cell_length_a 4.619
_cell_length_b 2.980
_cell_length_c 4.619
_cell_angle_alpha 88.78
_cell_angle_beta 100.89
_cell_angle_gamma 91.22
_symmetry_space_group_name_H-M 'P 1'
_symmetry_Int_Tables_number 1
_symmetry_space_group_name_Hall 'P 1'
loop_
_atom_site_label
_atom_site_type_symbol
_atom_site_fract_x
_atom_site_fract_y
_atom_site_fract_z
_atom_site_occupancy
Mg1 Mg 0.944 0.560 0.408 1
H1 H 0.656 0.060 0.121 1
H2 H 0.246 0.369 0.107 1
H3 H 0.643 0.751 0.710 1
H4 H 0.232 0.060 0.696 1
Ir1 Ir 0.944 0.060 0.908 1
Ir2 Ir 0.444 0.060 0.408 1
```

---

# 11
This record from Alexandria describes a relaxed MgH4Ir2 crystal. The functional is PBE.

Structure (CIF):
```
data_MgH4Ir2
_chemical_formula_sum 'Mg1 H4 Ir2'
_cell_length_a 4.266
_cell_length_b 3.492
_cell_length_c 4.266
_cell_angle_alpha 90.88
_cell_angle_beta 91.09
_cell_angle_gamma 90.88
_symmetry_space_group_name_H-M 'P 1'
_symmetry_Int_Tables_number 1
_symmetry_space_group_name_Hall 'P 1'
loop_
_atom_site_label
_atom_site_type_symbol
_atom_site_fract_x
_atom_site_fract_y
_atom_site_fract_z
_atom_site_occupancy
Mg1 Mg 0.906 0.404 0.370 1
H1 H 0.484 0.858 0.948 1
H2 H 0.401 0.400 0.280 1
H3 H 0.816 0.400 0.865 1
H4 H 0.219 0.055 0.683 1
Ir1 Ir 0.879 0.902 0.868 1
Ir2 Ir 0.404 0.902 0.343 1
```

---

# 12
This record from Alexandria describes a relaxed MgH6Ir crystal. The functional is PBE.

Structure (CIF):
```
data_MgH6Ir
_chemical_formula_sum 'Mg1 H6 Ir1'
_cell_length_a 3.785
_cell_length_b 5.010
_cell_length_c 4.904
_cell_angle_alpha 123.10
_cell_angle_beta 112.69
_cell_angle_gamma 90.02
_symmetry_space_group_name_H-M 'P 1'
_symmetry_Int_Tables_number 1
_symmetry_space_group_name_Hall 'P 1'
loop_
_atom_site_label
_atom_site_type_symbol
_atom_site_fract_x
_atom_site_fract_y
_atom_site_fract_z
_atom_site_occupancy
Mg1 Mg 0.301 0.316 0.998 1
H1 H 0.005 0.042 0.404 1
H2 H 0.524 0.782 0.443 1
H3 H 0.347 0.433 0.532 1
H4 H 0.760 0.343 0.916 1
H5 H 0.790 0.433 0.531 1
H6 H 0.302 0.893 0.998 1
Ir1 Ir 0.529 0.121 0.453 1
```

---

Let's list total DFT energy (no corrections) in order: -0.2145, -0.2144, -0.1441, -0.1402, -0.1622, -0.1583, -0.1519, -0.1438, -0.1895, -0.1731, -0.1744, -0.1453 hartree per atom.
Let's list density in order: 14.9, 14.9, 6.0, 5.5, 8.3, 8.5, 7.4, 6.9, 11.2, 11.0, 10.8, 5.3 g/cm³.